Entry 1:
Sc2TaPt | PBE | optimized geometry

Offset from the most stable computed form = 0.1597 eV per atom
Crystal system = tetragonal
N(E_F) = 5.387 states/eV/cell

Geometry as extended XYZ:
```
4
Lattice="-3.405 -2.219 1.343 0.309 -2.551 -3.432 2.471 -2.522 2.097" Properties=species:S:1:pos:R:3 pbc="T T T"
Pt 1.390 -2.537 -0.667
Sc 0.000 0.000 0.000
Sc -1.548 -2.385 -1.044
Ta -0.467 -2.371 1.720
```

***

Entry 2:
Sc2TaPt | PBE | optimized geometry

Offset from the most stable computed form = 0.1578 eV per atom
Crystal system = orthorhombic
N(E_F) = 4.552 states/eV/cell

Geometry as extended XYZ:
```
4
Lattice="-4.698 -1.091 -2.686 -3.963 -2.561 2.865 3.206 4.493 -0.041" Properties=species:S:1:pos:R:3 pbc="T T T"
Pt -2.543 0.053 1.457
Sc -0.195 -0.082 0.004
Sc -4.136 -1.744 0.086
Ta -2.911 0.788 -1.318
```

***

Entry 3:
ScTaPt4 | PBE | optimized geometry

Offset from the most stable computed form = 0.0000 eV per atom
Crystal system = monoclinic
N(E_F) = 3.700 states/eV/cell

Geometry as extended XYZ:
```
6
Lattice="-2.675 1.175 -0.149 -3.191 -3.393 1.802 0.116 4.640 5.792" Properties=species:S:1:pos:R:3 pbc="T T T"
Sc -2.875 1.211 3.722
Ta 0.000 0.000 0.000
Pt -3.744 3.116 5.636
Pt -4.053 -1.480 3.643
Pt -2.006 -0.694 1.808
Pt -1.697 3.902 3.802
```

***

Entry 4:
Sc4TaPt2 | PBE | optimized geometry

Crystal system = tetragonal
N(E_F) = 6.552 states/eV/cell

Geometry as extended XYZ:
```
7
Lattice="-1.756 -4.428 1.310 4.590 -1.827 -0.021 2.101 -1.484 7.117" Properties=species:S:1:pos:R:3 pbc="T T T"
Sc 3.104 -5.607 3.842
Sc 1.831 -2.133 4.564
Sc 2.295 -0.914 -0.011
Sc -0.878 -2.214 0.655
Pt 3.364 -4.983 6.300
Pt 1.571 -2.757 2.106
Ta 0.000 0.000 0.000
```

***

Entry 5:
ScTa2Pt | PBE | optimized geometry

Offset from the most stable computed form = 0.0000 eV per atom
Crystal system = orthorhombic
N(E_F) = 4.476 states/eV/cell

Geometry as extended XYZ:
```
4
Lattice="-2.064 -0.116 2.610 -0.067 -4.438 -0.250 3.736 -4.659 2.747" Properties=species:S:1:pos:R:3 pbc="T T T"
Pt 0.803 -4.606 2.553
Sc 1.868 -2.330 1.373
Ta 0.000 0.000 0.000
Ta -1.065 -2.277 1.180
```

***

Entry 6:
ScTaPt2 | PBE | optimized geometry

Crystal system = cubic

Geometry as extended XYZ:
```
4
Lattice="-4.532 -0.130 -0.464 -2.487 -2.722 2.678 -2.673 1.798 3.223" Properties=species:S:1:pos:R:3 pbc="T T T"
Pt 0.000 0.000 0.000
Pt -2.423 -0.264 1.359
Sc -4.846 -0.527 2.719
Ta -7.269 -0.791 4.078
```

***

Entry 7:
Sc2TaPt | PBE | optimized geometry

Offset from the most stable computed form = 0.0580 eV per atom
Crystal system = orthorhombic
N(E_F) = 3.776 states/eV/cell

Geometry as extended XYZ:
```
4
Lattice="5.687 -0.027 0.005 4.733 3.152 0.005 1.945 0.583 4.244" Properties=species:S:1:pos:R:3 pbc="T T T"
Pt 9.332 2.798 3.162
Sc 2.111 0.633 4.161
Sc 3.041 0.912 1.089
Ta 6.009 1.802 2.213
```

***

Entry 8:
ScTaPt2 | PBE | optimized geometry

Crystal system = tetragonal
N(E_F) = 2.394 states/eV/cell

Geometry as extended XYZ:
```
8
Lattice="-1.201 -2.152 -3.377 -2.581 -2.280 2.371 -8.359 3.626 -1.927" Properties=species:S:1:pos:R:3 pbc="T T T"
Sc -1.891 -2.216 -0.503
Sc -6.415 -0.435 -0.030
Pt -3.170 -0.737 -2.317
Pt -3.845 -0.774 0.599
Pt -7.671 1.072 -1.837
Pt -9.594 -1.172 -2.311
Ta 0.000 0.000 0.000
Ta -5.725 -0.371 -2.903
```

***

Entry 9:
ScTa2Pt | PBE | optimized geometry

Offset from the most stable computed form = 0.1281 eV per atom
Crystal system = monoclinic
N(E_F) = 3.323 states/eV/cell

Geometry as extended XYZ:
```
4
Lattice="-2.459 -3.611 1.466 1.769 -0.296 2.240 -2.558 3.214 3.626" Properties=species:S:1:pos:R:3 pbc="T T T"
Pt -0.428 1.475 2.916
Sc -1.813 0.378 5.134
Ta 0.030 0.003 0.058
Ta -1.431 -1.090 2.156
```

***

Entry 10:
ScTaPt2 | PBE | optimized geometry

Crystal system = trigonal
N(E_F) = 3.821 states/eV/cell

Geometry as extended XYZ:
```
4
Lattice="7.681 -0.446 -0.263 7.094 2.977 -0.263 7.094 1.215 2.731" Properties=species:S:1:pos:R:3 pbc="T T T"
Pt 0.141 0.024 0.014
Pt 10.794 1.849 1.088
Sc 5.467 0.937 0.551
Ta 16.402 2.810 1.654
```

***

Entry 11:
ScTaPt2 | PBE | optimized geometry

Crystal system = tetragonal
N(E_F) = 3.537 states/eV/cell

Geometry as extended XYZ:
```
4
Lattice="-1.479 3.177 -1.749 -2.062 0.963 3.491 3.262 2.239 1.309" Properties=species:S:1:pos:R:3 pbc="T T T"
Pt 0.000 0.000 0.000
Pt 0.600 1.601 2.400
Sc -1.770 2.070 0.871
Ta 0.891 2.708 -0.220
```

***

Entry 12:
Sc2TaPt | PBE | optimized geometry

Offset from the most stable computed form = 0.2254 eV per atom
Crystal system = cubic
N(E_F) = 3.327 states/eV/cell

Geometry as extended XYZ:
```
4
Lattice="4.558 0.560 1.230 1.133 1.117 4.480 2.122 -3.214 2.787" Properties=species:S:1:pos:R:3 pbc="T T T"
Sc 1.953 -0.384 2.124
Sc 5.859 -1.153 6.373
Pt 3.906 -0.769 4.248
Ta 0.000 0.000 0.000
```

***

Entry 13:
ScTaPt2 | PBE | optimized geometry

Crystal system = tetragonal
N(E_F) = 3.545 states/eV/cell

Geometry as extended XYZ:
```
4
Lattice="4.920 0.000 0.000 0.000 4.920 0.000 0.000 0.000 2.863" Properties=species:S:1:pos:R:3 pbc="T T T"
Pt 0.000 0.000 0.000
Pt 2.460 2.460 0.000
Sc 2.460 0.000 1.432
Ta 0.000 2.460 1.432
```

***

Entry 14:
Sc2TaPt | PBE | optimized geometry

Offset from the most stable computed form = 0.3260 eV per atom
Crystal system = trigonal
N(E_F) = 4.750 states/eV/cell

Geometry as extended XYZ:
```
4
Lattice="-1.110 1.732 -9.482 -1.985 -1.270 -9.412 -4.059 0.979 -8.758" Properties=species:S:1:pos:R:3 pbc="T T T"
Pt -5.385 1.084 -20.811
Sc -0.079 0.016 -0.306
Sc -1.738 0.350 -6.719
Ta -3.530 0.711 -13.642
```

***

Entry 15:
Sc2TaPt | PBE | optimized geometry

Offset from the most stable computed form = 0.1807 eV per atom
Crystal system = monoclinic
N(E_F) = 4.431 states/eV/cell

Geometry as extended XYZ:
```
4
Lattice="4.566 0.000 0.000 0.000 3.080 0.021 0.000 1.421 5.492" Properties=species:S:1:pos:R:3 pbc="T T T"
Pt 2.283 3.237 4.131
Sc 0.000 4.372 5.376
Sc 2.283 1.141 1.484
Ta 0.000 2.502 2.792
```

***

Entry 16:
ScTaPt2 | PBE | optimized geometry

Crystal system = monoclinic
N(E_F) = 2.497 states/eV/cell

Geometry as extended XYZ:
```
4
Lattice="4.687 0.000 0.000 0.000 2.894 0.035 0.000 0.537 5.083" Properties=species:S:1:pos:R:3 pbc="T T T"
Sc 0.000 1.809 2.148
Pt 0.000 0.978 4.803
Pt 2.344 0.407 1.589
Ta 2.344 2.488 4.220
```

***

Entry 17:
ScTa4Pt | PBE | optimized geometry

Crystal system = cubic
N(E_F) = 4.758 states/eV/cell

Geometry as extended XYZ:
```
6
Lattice="1.261 -4.679 -2.510 -2.449 -1.326 -4.693 2.823 0.083 -4.670" Properties=species:S:1:pos:R:3 pbc="T T T"
Sc 0.000 0.000 0.000
Ta 1.248 -4.576 -5.705
Ta 2.037 -2.171 -6.796
Ta -0.626 -2.883 -6.808
Ta 0.611 -2.213 -4.437
Pt 1.226 -4.441 -8.905
```

***

Entry 18:
ScTa2Pt | PBE | optimized geometry

Offset from the most stable computed form = 0.3133 eV per atom
Crystal system = tetragonal
N(E_F) = 4.322 states/eV/cell

Geometry as extended XYZ:
```
4
Lattice="-2.839 3.257 2.016 -2.745 -3.480 1.757 1.758 -0.075 2.598" Properties=species:S:1:pos:R:3 pbc="T T T"
Pt -0.540 1.591 2.307
Sc -0.493 -1.778 2.178
Ta 0.000 0.000 0.000
Ta -2.792 -0.112 1.886
```

***

Entry 19:
Sc2TaPt | PBE | optimized geometry

Offset from the most stable computed form = 0.1984 eV per atom
Crystal system = tetragonal
N(E_F) = 5.992 states/eV/cell

Geometry as extended XYZ:
```
4
Lattice="5.507 -0.014 0.000 2.620 4.845 0.000 -4.064 -2.415 2.826" Properties=species:S:1:pos:R:3 pbc="T T T"
Pt 2.754 -0.007 1.413
Sc 0.000 0.000 0.000
Sc 1.310 2.422 1.413
Ta 4.064 2.415 0.000
```

***

Entry 20:
ScTa2Pt | PBE | optimized geometry

Offset from the most stable computed form = 0.1677 eV per atom
Crystal system = tetragonal
N(E_F) = 5.112 states/eV/cell

Geometry as extended XYZ:
```
4
Lattice="5.257 0.006 0.000 2.133 4.805 0.000 -3.695 -2.405 2.863" Properties=species:S:1:pos:R:3 pbc="T T T"
Pt 3.695 2.405 0.000
Sc 2.629 0.003 1.432
Ta 0.000 0.000 0.000
Ta 1.067 2.402 1.432
```

***

Entry 21:
ScTaPt4 | PBE | optimized geometry

Offset from the most stable computed form = 0.3082 eV per atom
Crystal system = cubic
N(E_F) = 2.489 states/eV/cell

Geometry as extended XYZ:
```
6
Lattice="0.000 3.723 3.723 3.723 0.000 3.723 3.723 3.723 0.000" Properties=species:S:1:pos:R:3 pbc="T T T"
Sc 5.584 5.584 5.584
Ta 0.000 0.000 0.000
Pt 2.791 4.655 4.655
Pt 4.655 4.655 2.791
Pt 4.655 2.791 4.655
Pt 2.791 2.791 2.791
```

***

Entry 22:
Sc2TaPt9 | PBE | optimized geometry

Crystal system = tetragonal
N(E_F) = 4.287 states/eV/cell

Geometry as extended XYZ:
```
12
Lattice="4.008 0.000 0.000 0.000 4.008 0.000 0.000 0.000 12.010" Properties=species:S:1:pos:R:3 pbc="T T T"
Sc 0.000 0.000 4.053
Sc 0.000 0.000 7.956
Ta 0.000 0.000 0.000
Pt 2.004 2.004 0.000
Pt 2.004 2.004 3.975
Pt 2.004 2.004 8.035
Pt 2.004 0.000 1.938
Pt 2.004 0.000 6.005
Pt 2.004 0.000 10.072
Pt 0.000 2.004 1.938
Pt 0.000 2.004 6.005
Pt 0.000 2.004 10.072
```

***

Entry 23:
Sc2TaPt | PBE | optimized geometry

Offset from the most stable computed form = 0.2602 eV per atom
Crystal system = cubic
N(E_F) = 6.926 states/eV/cell

Geometry as extended XYZ:
```
4
Lattice="-3.734 2.188 -1.834 -3.204 -2.446 -2.419 -4.274 -0.719 1.820" Properties=species:S:1:pos:R:3 pbc="T T T"
Pt -5.606 -0.488 -1.217
Sc 0.000 0.000 0.000
Sc -2.803 -0.244 -0.608
Ta -8.409 -0.732 -1.825
```

***

Entry 24:
Sc2TaPt | PBE | optimized geometry

Offset from the most stable computed form = 0.2287 eV per atom
Crystal system = monoclinic
N(E_F) = 4.955 states/eV/cell

Geometry as extended XYZ:
```
4
Lattice="5.746 0.006 0.019 -2.542 4.784 -0.004 0.662 0.847 2.724" Properties=species:S:1:pos:R:3 pbc="T T T"
Pt 1.602 2.395 0.007
Sc 0.000 0.000 0.000
Sc 3.204 0.426 1.371
Ta -0.940 2.815 1.360
```

***

Entry 25:
Sc2TaPt | PBE | optimized geometry

Offset from the most stable computed form = 0.1099 eV per atom
Crystal system = tetragonal
N(E_F) = 4.172 states/eV/cell

Geometry as extended XYZ:
```
4
Lattice="-2.736 1.314 -0.606 -0.663 -2.290 -1.974 -3.516 -4.414 6.303" Properties=species:S:1:pos:R:3 pbc="T T T"
Pt -4.276 -3.722 3.329
Sc -3.358 -4.216 6.020
Sc -2.697 -1.740 0.498
Ta -1.857 -2.332 3.330
```

***

Entry 26:
ScTaPt2 | PBE | optimized geometry

Crystal system = trigonal
N(E_F) = 1.814 states/eV/cell

Geometry as extended XYZ:
```
4
Lattice="9.419 0.039 0.023 8.942 2.959 0.023 8.942 1.460 2.574" Properties=species:S:1:pos:R:3 pbc="T T T"
Pt 0.057 0.009 0.005
Pt 6.783 1.108 0.651
Sc 13.728 2.242 1.317
Ta 20.386 3.329 1.956
```

***

Entry 27:
ScTa2Pt | PBE | optimized geometry

Offset from the most stable computed form = 0.3218 eV per atom
Crystal system = cubic
N(E_F) = 3.828 states/eV/cell

Geometry as extended XYZ:
```
4
Lattice="0.000 3.275 3.275 3.275 0.000 3.275 3.275 3.275 0.000" Properties=species:S:1:pos:R:3 pbc="T T T"
Sc 0.000 0.000 0.000
Pt 3.275 3.275 3.275
Ta 1.638 1.638 1.638
Ta 4.913 4.913 4.913
```

***

Entry 28:
Sc2TaZnPt | PBE | optimized geometry

Crystal system = tetragonal
N(E_F) = 8.775 states/eV/cell

Geometry as extended XYZ:
```
5
Lattice="4.785 0.000 0.000 0.000 4.745 0.000 0.000 0.000 4.785" Properties=species:S:1:pos:R:3 pbc="T T T"
Sc 0.000 0.000 2.393
Sc 2.393 0.000 0.000
Zn 0.000 0.000 0.000
Pt 2.393 2.373 2.393
Ta 0.000 2.373 0.000
```

***

Entry 29:
Tb3ScPt12 | PBE | optimized geometry

Crystal system = tetragonal
N(E_F) = 14.845 states/eV/cell

Geometry as extended XYZ:
```
16
Lattice="4.107 0.000 0.000 0.000 4.107 0.000 0.000 0.000 16.350" Properties=species:S:1:pos:R:3 pbc="T T T"
Tb 0.000 0.000 4.035
Tb 0.000 0.000 8.175
Tb 0.000 0.000 12.314
Sc 0.000 0.000 0.000
Pt 2.054 2.054 0.000
Pt 2.054 2.054 4.019
Pt 2.054 2.054 8.175
Pt 2.054 2.054 12.331
Pt 2.054 0.000 1.935
Pt 2.054 0.000 6.099
Pt 2.054 0.000 10.251
Pt 2.054 0.000 14.415
Pt 0.000 2.054 1.935
Pt 0.000 2.054 6.099
Pt 0.000 2.054 10.251
Pt 0.000 2.054 14.415
```

***

| no. | E_form (eV/atom) | magnetization (μB per atom) |
| --- | --- | --- |
| 1 | -0.332 | 0.00 |
| 2 | -0.334 | 0.00 |
| 3 | -0.865 | 0.00 |
| 4 | 0.144 | 0.00 |
| 5 | -0.368 | 0.00 |
| 6 | -0.591 | 0.00 |
| 7 | -0.434 | 0.00 |
| 8 | -0.166 | 0.00 |
| 9 | -0.240 | 0.00 |
| 10 | -0.536 | 0.00 |
| 11 | -0.717 | 0.00 |
| 12 | -0.266 | 0.70 |
| 13 | -0.823 | 0.00 |
| 14 | -0.166 | 0.00 |
| 15 | -0.311 | 0.00 |
| 16 | -0.887 | 0.00 |
| 17 | 0.084 | 0.00 |
| 18 | -0.055 | 0.00 |
| 19 | -0.294 | 0.00 |
| 20 | -0.200 | 0.00 |
| 21 | -0.557 | 0.00 |
| 22 | -0.973 | 0.00 |
| 23 | -0.232 | 0.00 |
| 24 | -0.263 | 0.00 |
| 25 | -0.382 | 0.00 |
| 26 | -0.358 | 0.00 |
| 27 | -0.046 | 0.00 |
| 28 | 0.606 | 0.00 |
| 29 | -1.023 | 0.00 |